Compound: PtW2Se
Source: Alexandria
Functional: PBE
Structure: optimized geometry

Lattice parameters (Å, degrees): 9.668 2.936 4.893 90.00 109.54 90.00
Space group Cm (No. 8)
Symmetry-distinct sites (fractional):
Pt 0.000 0.000 0.000 (multiplicity 2)
W 0.243 0.500 0.084 (multiplicity 2)
W 0.470 0.000 0.506 (multiplicity 2)
Se 0.219 0.000 0.631 (multiplicity 2)

Values from the calculation:
- N(E_F): 4.18 states/eV per cell
- E_tot: -8.595 eV per atom
- Size of the total moment: 0.0 Bohr magnetons per cell


Compound: SrFeP3
Source: Alexandria
Functional: PBE
Structure: optimized geometry

Lattice parameters (Å, degrees): 4.547 4.547 4.547 90.00 90.00 90.00
Space group Pm-3m (No. 221)
Symmetry-distinct sites (fractional):
Sr 0.000 0.000 0.000 (multiplicity 1)
Fe 0.500 0.500 0.500 (multiplicity 1)
P 0.000 0.500 0.500 (multiplicity 3)

Values from the calculation:
- N(E_F): 4.74 states/eV per cell
- Energy relative to the elements: -72 meV per atom
- Size of the total moment: 0.0 Bohr magnetons per cell


Compound: Pm2Te2ClO6
Source: Alexandria
Functional: PBE
Structure: optimized geometry

Lattice parameters (Å, degrees): 12.366 5.908 6.841 90.00 123.00 90.00
Space group C2/m (No. 12)
Symmetry-distinct sites (fractional):
Pm 0.148 0.000 0.313 (multiplicity 4)
Te 0.236 0.000 0.890 (multiplicity 4)
Cl 0.000 0.500 0.000 (multiplicity 2)
O 0.076 0.000 0.882 (multiplicity 4)
O 0.202 0.221 0.644 (multiplicity 8)

Values from the calculation:
- N(E_F): 4.30 states/eV per cell
- E_tot: -6.347 eV per atom
- Size of the total moment: 0.0 Bohr magnetons per cell


The highest N(E_F) belongs to which entry? SrFeP3


Number 2 is which compound? SrFeP3